Here is crystalline TePF3 at its relaxed geometry from the Alexandria database. Energies are from PBE-GGA.

Values from the calculation:
Magnetic moment (μB per formula unit): 2.0
ρ (kg/m³): 4425
Uncorrected formation energy (eV/atom): -0.6314
DFT total energy (Ha/atom): -0.127
Relative energy among the computed polymorphs (eV per atom): 0.000

abc: 4.3248 4.3248 4.3248
angles: 90.00 90.00 90.00
Closest atoms and distances in Å follow each position.
Element x y z (fractional)
F 0.5000 0.0000 0.0000  2 P 2.16
F 0.0000 0.5000 0.0000  2 P 2.16
F 0.0000 0.0000 0.5000  2 P 2.16
Te 0.5000 0.5000 0.5000  12 F 3.06
P 0.0000 0.0000 0.0000  6 F 2.16